Computed, not measured: BeSi2Sb at its PBEsol-relaxed geometry at the meta-GGA SCAN level of DFT.

- Formation energy (no corrections): 662 meV/atom
- Offset from the most stable computed form: 0.0000 eV per atom

The structure in CIF format:
```
data_BeSi2Sb
_chemical_formula_sum 'Be1 Si2 Sb1'
_symmetry_space_group_name_H-M 'P 4/m m m'
_symmetry_Int_Tables_number 123
_symmetry_space_group_name_Hall '-P 4 2'
_cell_length_a 2.815
_cell_length_b 2.815
_cell_length_c 8.366
_cell_angle_alpha 90.00
_cell_angle_beta 90.00
_cell_angle_gamma 90.00
loop_
_atom_site_label
_atom_site_fract_x
_atom_site_fract_y
_atom_site_fract_z
Be1 0.000 0.000 0.000
Si1 0.500 0.500 0.176
Sb1 0.000 0.000 0.500
```

=====

Computed, not measured: BeTlSnSb2 at its PBEsol-relaxed geometry at the meta-GGA SCAN level of DFT.

- Formation energy (no corrections): 674 meV/atom

The structure in CIF format:
```
data_BeTlSnSb2
_chemical_formula_sum 'Be1 Tl1 Sn1 Sb2'
_symmetry_space_group_name_H-M 'P 4/m m m'
_symmetry_Int_Tables_number 123
_symmetry_space_group_name_Hall '-P 4 2'
_cell_length_a 5.808
_cell_length_b 5.808
_cell_length_c 4.415
_cell_angle_alpha 90.00
_cell_angle_beta 90.00
_cell_angle_gamma 90.00
loop_
_atom_site_label
_atom_site_fract_x
_atom_site_fract_y
_atom_site_fract_z
Be1 0.000 0.000 0.000
Tl1 0.500 0.500 0.000
Sn1 0.000 0.000 0.500
Sb1 0.000 0.500 0.500
```

=====

Computed, not measured: YBe2SnSb at its PBEsol-relaxed geometry at the meta-GGA SCAN level of DFT.

- Formation energy (no corrections): 476 meV/atom

The structure in CIF format:
```
data_YBe2SnSb
_chemical_formula_sum 'Y1 Be2 Sn1 Sb1'
_symmetry_space_group_name_H-M 'P 4/m m m'
_symmetry_Int_Tables_number 123
_symmetry_space_group_name_Hall '-P 4 2'
_cell_length_a 4.546
_cell_length_b 4.546
_cell_length_c 5.792
_cell_angle_alpha 90.00
_cell_angle_beta 90.00
_cell_angle_gamma 90.00
loop_
_atom_site_label
_atom_site_fract_x
_atom_site_fract_y
_atom_site_fract_z
Y1 0.000 0.000 0.000
Be1 0.000 0.500 0.500
Sn1 0.500 0.500 0.000
Sb1 0.000 0.000 0.500
```

=====

Computed, not measured: TaBeSb at its PBEsol-relaxed geometry at the meta-GGA SCAN level of DFT.

- Formation energy (no corrections): 232 meV/atom
- Offset from the most stable computed form: 0.0000 eV per atom

The structure in CIF format:
```
data_TaBeSb
_chemical_formula_sum 'Ta2 Be2 Sb2'
_symmetry_space_group_name_H-M 'I m m 2'
_symmetry_Int_Tables_number 44
_cell_length_a 3.054
_cell_length_b 3.542
_cell_length_c 9.101
_cell_angle_alpha 90.00
_cell_angle_beta 90.00
_cell_angle_gamma 90.00
loop_
_symmetry_equiv_pos_as_xyz
'x,y,z'
'-x,-y,z'
'-x,y,z'
'x,-y,z'
'x+1/2,y+1/2,z+1/2'
'-x+1/2,-y+1/2,z+1/2'
'-x+1/2,y+1/2,z+1/2'
'x+1/2,-y+1/2,z+1/2'
loop_
_atom_site_label
_atom_site_fract_x
_atom_site_fract_y
_atom_site_fract_z
Ta1 0.000 0.000 0.000
Be1 0.000 0.000 0.627
Sb1 0.000 0.000 0.311
```

=====

Computed, not measured: Ta2BeSb at its PBEsol-relaxed geometry at the meta-GGA SCAN level of DFT.

- Formation energy (no corrections): 241 meV/atom

The structure in CIF format:
```
data_Ta2BeSb
_chemical_formula_sum 'Ta6 Be3 Sb3'
_symmetry_space_group_name_H-M 'R -3 m'
_symmetry_Int_Tables_number 166
_symmetry_space_group_name_Hall '-R 3 2"'
_cell_length_a 3.4602
_cell_length_b 3.4602
_cell_length_c 19.6508
_cell_angle_alpha 90.00
_cell_angle_beta 90.00
_cell_angle_gamma 120.00
loop_
_atom_site_label
_atom_site_fract_x
_atom_site_fract_y
_atom_site_fract_z
Ta1 0.0000 0.0000 0.2295
Be1 0.0000 0.0000 0.5000
Sb1 0.0000 0.0000 0.0000
```

=====

Computed, not measured: TaBeSb at its PBEsol-relaxed geometry at the meta-GGA SCAN level of DFT.

- Formation energy (no corrections): 835 meV/atom
- Offset from the most stable computed form: 0.6027 eV per atom

The structure in CIF format:
```
data_TaBeSb
_chemical_formula_sum 'Ta4 Be4 Sb4'
_symmetry_space_group_name_H-M 'F -4 3 m'
_symmetry_Int_Tables_number 216
_symmetry_space_group_name_Hall 'F -4 2 3'
_cell_length_a 6.233
_cell_length_b 6.233
_cell_length_c 6.233
_cell_angle_alpha 90.00
_cell_angle_beta 90.00
_cell_angle_gamma 90.00
loop_
_atom_site_label
_atom_site_fract_x
_atom_site_fract_y
_atom_site_fract_z
Ta1 0.000 0.000 0.000
Be1 0.250 0.250 0.750
Sb1 0.250 0.250 0.250
```

=====

Computed, not measured: TaBeSb at its PBEsol-relaxed geometry at the meta-GGA SCAN level of DFT.

- Formation energy (no corrections): 530 meV/atom
- Offset from the most stable computed form: 0.2976 eV per atom

The structure in CIF format:
```
data_TaBeSb
_chemical_formula_sum 'Ta1 Be1 Sb1'
_symmetry_space_group_name_H-M 'P -6 m 2'
_symmetry_Int_Tables_number 187
_symmetry_space_group_name_Hall 'P -6 2'
_cell_length_a 4.4719
_cell_length_b 4.4719
_cell_length_c 2.8285
_cell_angle_alpha 90.00
_cell_angle_beta 90.00
_cell_angle_gamma 120.00
loop_
_atom_site_label
_atom_site_fract_x
_atom_site_fract_y
_atom_site_fract_z
Ta1 0.0000 0.0000 0.0000
Be1 0.3333 0.6667 0.5000
Sb1 0.6667 0.3333 0.5000
```

=====

Computed, not measured: BeTc2Sb at its PBEsol-relaxed geometry at the meta-GGA SCAN level of DFT.

- Formation energy (no corrections): 220 meV/atom
- Offset from the most stable computed form: 0.0481 eV per atom

The structure in CIF format:
```
data_BeTc2Sb
_chemical_formula_sum 'Be3 Tc6 Sb3'
_symmetry_space_group_name_H-M 'R -3 m'
_symmetry_Int_Tables_number 166
_symmetry_space_group_name_Hall '-R 3 2"'
_cell_length_a 3.1463
_cell_length_b 3.1463
_cell_length_c 20.1389
_cell_angle_alpha 90.00
_cell_angle_beta 90.00
_cell_angle_gamma 120.00
loop_
_atom_site_label
_atom_site_fract_x
_atom_site_fract_y
_atom_site_fract_z
Be1 0.0000 0.0000 0.0000
Tc1 0.0000 0.0000 0.2716
Sb1 0.0000 0.0000 0.5000
```

=====

Computed, not measured: BeTc2Sb at its PBEsol-relaxed geometry at the meta-GGA SCAN level of DFT.

- Formation energy (no corrections): 183 meV/atom
- Offset from the most stable computed form: 0.0113 eV per atom

The structure in CIF format:
```
data_BeTc2Sb
_chemical_formula_sum 'Be2 Tc4 Sb2'
_symmetry_space_group_name_H-M 'C 1 m 1'
_symmetry_Int_Tables_number 8
_cell_length_a 8.938
_cell_length_b 3.063
_cell_length_c 4.429
_cell_angle_alpha 90.00
_cell_angle_beta 108.76
_cell_angle_gamma 90.00
loop_
_symmetry_equiv_pos_as_xyz
'x,y,z'
'x,-y,z'
'x+1/2,y+1/2,z'
'x+1/2,-y+1/2,z'
loop_
_atom_site_label
_atom_site_fract_x
_atom_site_fract_y
_atom_site_fract_z
Be1 0.000 0.000 0.000
Tc1 0.016 0.500 0.557
Tc2 0.271 0.000 0.876
Sb1 0.257 0.500 0.346
```

=====

Computed, not measured: BeTc2Sb at its PBEsol-relaxed geometry at the meta-GGA SCAN level of DFT.

- Formation energy (no corrections): 177 meV/atom
- Offset from the most stable computed form: 0.0053 eV per atom

The structure in CIF format:
```
data_BeTc2Sb
_chemical_formula_sum 'Be1 Tc2 Sb1'
_symmetry_space_group_name_H-M 'P 4 m m'
_symmetry_Int_Tables_number 99
_cell_length_a 2.939
_cell_length_b 2.939
_cell_length_c 7.835
_cell_angle_alpha 90.00
_cell_angle_beta 90.00
_cell_angle_gamma 90.00
loop_
_symmetry_equiv_pos_as_xyz
'x,y,z'
'-y,x,z'
'-x,-y,z'
'y,-x,z'
'-x,y,z'
'y,x,z'
'x,-y,z'
'-y,-x,z'
loop_
_atom_site_label
_atom_site_fract_x
_atom_site_fract_y
_atom_site_fract_z
Be1 0.000 0.000 0.000
Tc1 0.000 0.000 0.652
Tc2 0.500 0.500 0.846
Sb1 0.500 0.500 0.399
```

=====

Computed, not measured: BeTc2Sb at its PBEsol-relaxed geometry at the meta-GGA SCAN level of DFT.

- Formation energy (no corrections): 172 meV/atom
- Offset from the most stable computed form: 0.0000 eV per atom

The structure in CIF format:
```
data_BeTc2Sb
_chemical_formula_sum 'Be1 Tc2 Sb1'
_symmetry_space_group_name_H-M 'P 1 2/m 1'
_symmetry_Int_Tables_number 10
_cell_length_a 3.059
_cell_length_b 3.364
_cell_length_c 5.570
_cell_angle_alpha 90.00
_cell_angle_beta 99.24
_cell_angle_gamma 90.00
loop_
_symmetry_equiv_pos_as_xyz
'x,y,z'
'-x,-y,-z'
'-x,y,-z'
'x,-y,z'
loop_
_atom_site_label
_atom_site_fract_x
_atom_site_fract_y
_atom_site_fract_z
Be1 0.000 0.000 0.000
Tc1 0.376 0.500 0.218
Sb1 0.000 0.000 0.500
```

=====

Computed, not measured: BeTc2Sb at its PBEsol-relaxed geometry at the meta-GGA SCAN level of DFT.

- Formation energy (no corrections): 269 meV/atom
- Offset from the most stable computed form: 0.0973 eV per atom

The structure in CIF format:
```
data_BeTc2Sb
_chemical_formula_sum 'Be2 Tc4 Sb2'
_symmetry_space_group_name_H-M 'I -4 m 2'
_symmetry_Int_Tables_number 119
_symmetry_space_group_name_Hall 'I -4 -2'
_cell_length_a 3.865
_cell_length_b 3.865
_cell_length_c 7.679
_cell_angle_alpha 90.00
_cell_angle_beta 90.00
_cell_angle_gamma 90.00
loop_
_atom_site_label
_atom_site_fract_x
_atom_site_fract_y
_atom_site_fract_z
Be1 0.000 0.000 0.000
Tc1 0.000 0.000 0.500
Tc2 0.000 0.500 0.750
Sb1 0.000 0.500 0.250
```

=====

Computed, not measured: TiBeSbTe2 at its PBEsol-relaxed geometry at the meta-GGA SCAN level of DFT.

- Formation energy (no corrections): 581 meV/atom

The structure in CIF format:
```
data_TiBeSbTe2
_chemical_formula_sum 'Ti1 Be1 Sb1 Te2'
_symmetry_space_group_name_H-M 'P 4/m m m'
_symmetry_Int_Tables_number 123
_symmetry_space_group_name_Hall '-P 4 2'
_cell_length_a 5.198
_cell_length_b 5.198
_cell_length_c 5.237
_cell_angle_alpha 90.00
_cell_angle_beta 90.00
_cell_angle_gamma 90.00
loop_
_atom_site_label
_atom_site_fract_x
_atom_site_fract_y
_atom_site_fract_z
Ti1 0.000 0.000 0.000
Be1 0.500 0.500 0.500
Sb1 0.000 0.000 0.500
Te1 0.000 0.500 0.000
```

=====

Computed, not measured: YBeSb2Te at its PBEsol-relaxed geometry at the meta-GGA SCAN level of DFT.

- Formation energy (no corrections): -26 meV/atom

The structure in CIF format:
```
data_YBeSb2Te
_chemical_formula_sum 'Y1 Be1 Sb2 Te1'
_symmetry_space_group_name_H-M 'P 4/m m m'
_symmetry_Int_Tables_number 123
_symmetry_space_group_name_Hall '-P 4 2'
_cell_length_a 4.841
_cell_length_b 4.841
_cell_length_c 5.238
_cell_angle_alpha 90.00
_cell_angle_beta 90.00
_cell_angle_gamma 90.00
loop_
_atom_site_label
_atom_site_fract_x
_atom_site_fract_y
_atom_site_fract_z
Y1 0.000 0.000 0.000
Be1 0.500 0.500 0.500
Sb1 0.000 0.500 0.500
Te1 0.500 0.500 0.000
```

=====

Computed, not measured: ZrBeSb2Te at its PBEsol-relaxed geometry at the meta-GGA SCAN level of DFT.

- Formation energy (no corrections): 720 meV/atom

The structure in CIF format:
```
data_ZrBeSb2Te
_chemical_formula_sum 'Zr1 Be1 Sb2 Te1'
_symmetry_space_group_name_H-M 'P 4/m m m'
_symmetry_Int_Tables_number 123
_symmetry_space_group_name_Hall '-P 4 2'
_cell_length_a 5.488
_cell_length_b 5.488
_cell_length_c 5.418
_cell_angle_alpha 90.00
_cell_angle_beta 90.00
_cell_angle_gamma 90.00
loop_
_atom_site_label
_atom_site_fract_x
_atom_site_fract_y
_atom_site_fract_z
Zr1 0.000 0.000 0.000
Be1 0.500 0.500 0.500
Sb1 0.000 0.500 0.000
Te1 0.000 0.000 0.500
```